No. 1
The following is a PBE calculation of crystalline GaCu2Au2 at its relaxed geometry, from the Alexandria database.

Output
- space-group type = No. 139
- energy above the most stable polymorph in this dataset (kJ/mol of formula units) = 136.1
- raw total energy (eV/cell) = -16.9
- DFT formation energy (eV/atom) = 0.173

abc: 3.837 3.837 6.669
angles: 73.28 73.28 90.00
Atoms (fractional coordinates):
Au 0.750 0.250 0.500
Au 0.250 0.750 0.500
Cu 0.404 0.404 0.192
Cu 0.596 0.596 0.808
Ga 0.000 0.000 0.000

No. 2
The following is a PBE calculation of crystalline YMoCl2 at its relaxed geometry, from the Alexandria database.

Output
- space-group type = No. 119
- formation energy from raw total energies (eV/atom) = -0.066
- energy above the most stable polymorph in this dataset (kJ/mol of formula units) = 189.3
- raw total energy (eV/cell) = -21.3

abc: 6.214 6.214 6.214
angles: 143.69 143.69 52.29
Each line ends with the local moment (μB).
Atoms (fractional coordinates):
Y 0.750 0.250 0.500  -0.07
Mo 0.500 0.500 0.000  2.54
Cl 0.000 0.000 0.000  0.03
Cl 0.250 0.750 0.500  0.02

No. 3
The following is a PBE calculation of crystalline FeHPt2Rh at its relaxed geometry, from the Alexandria database.

Output
- space-group type = No. 123
- energy above the most stable polymorph in this dataset (kJ/mol of formula units) = 21.9
- raw total energy (eV/cell) = -31.3

abc: 3.890 3.890 4.060
angles: 90.00 90.00 90.00
Each line ends with the local moment (μB).
Atoms (fractional coordinates):
H 0.000 0.000 0.000  -0.01
Rh 0.500 0.500 0.500  0.87
Fe 0.000 0.000 0.500  3.15
Pt 0.000 0.500 0.000  0.33
Pt 0.500 0.000 0.000  0.33

No. 4
The following is a PBE calculation of crystalline SrTlSn2Bi at its relaxed geometry, from the Alexandria database.

Output
- space-group type = No. 44
- raw total energy (eV/cell) = -16.9
- DFT formation energy (eV/atom) = -0.192

abc: 4.973 5.137 7.918
angles: 108.93 108.30 90.00
Atoms (fractional coordinates):
Sr 0.193 0.693 0.386
Tl 0.449 0.449 0.897
Sn 0.681 0.181 0.362
Sn 0.049 0.049 0.097
Bi 0.841 0.841 0.682

No. 5
The following is a PBE calculation of crystalline Sm2Tm3Cd2 at its relaxed geometry, from the Alexandria database.

Output
- space-group type = No. 65
- energy above the most stable polymorph in this dataset (kJ/mol of formula units) = 26.9
- raw total energy (eV/cell) = -25.4
- DFT formation energy (eV/atom) = -0.101

abc: 3.550 3.513 16.365
angles: 90.00 96.23 90.00
Each line ends with the local moment (μB).
Atoms (fractional coordinates):
Sm 0.298 0.500 0.595  0.20
Sm 0.702 0.500 0.405  0.20
Tm 0.426 0.500 0.852  0.01
Tm 0.574 0.500 0.148  0.01
Tm 0.000 0.000 0.000  0.01
Cd 0.136 0.000 0.271  0.00
Cd 0.864 0.000 0.729  0.00

No. 6
The following is a PBE calculation of crystalline Sr2Cd2GaAu4 at its relaxed geometry, from the Alexandria database.

Output
- space-group type = No. 139
- raw total energy (eV/cell) = -25.6
- DFT formation energy (eV/atom) = -0.476

abc: 6.653 6.653 6.653
angles: 97.88 115.56 115.56
Atoms (fractional coordinates):
Sr 0.500 0.750 0.250
Sr 0.500 0.250 0.750
Cd 0.000 0.680 0.680
Cd 0.000 0.320 0.320
Ga 0.000 0.000 0.000
Au 0.000 0.743 0.257
Au 0.485 0.743 0.743
Au 0.000 0.257 0.743
Au 0.515 0.257 0.257

No. 7
The following is a PBE calculation of crystalline GaSb2TeI at its relaxed geometry, from the Alexandria database.

Output
- space-group type = No. 123
- formation energy from raw total energies (eV/atom) = 0.936
- energy above the most stable polymorph in this dataset (kJ/mol of formula units) = 235.3
- raw total energy (eV/cell) = -11.3

abc: 5.859 5.859 5.932
angles: 90.00 90.00 90.00
Each line ends with the local moment (μB).
Atoms (fractional coordinates):
I 0.000 0.000 0.000  0.00
Sb 0.000 0.500 0.000  0.11
Sb 0.500 0.000 0.000  0.11
Te 0.000 0.000 0.500  0.03
Ga 0.500 0.500 0.500  0.00

No. 8
The following is a PBE calculation of crystalline BaSr3Cd3 at its relaxed geometry, from the Alexandria database.

Output
- space-group type = No. 160
- raw total energy (eV/cell) = -11.3
- DFT formation energy (eV/atom) = -0.222

abc: 7.148 7.008 7.148
angles: 109.08 109.86 109.08
Atoms (fractional coordinates):
Ba 0.000 0.503 0.000
Sr 0.500 0.004 0.000
Sr 0.500 0.504 0.500
Sr 0.000 0.004 0.500
Cd 0.500 0.504 0.000
Cd 0.500 0.004 0.500
Cd 0.000 0.504 0.500

No. 9
The following is a PBE calculation of crystalline AgTeWI2 at its relaxed geometry, from the Alexandria database.

Output
- space-group type = No. 123
- formation energy from raw total energies (eV/atom) = 0.716
- energy above the most stable polymorph in this dataset (kJ/mol of formula units) = 0.0
- raw total energy (eV/cell) = -18.5

abc: 5.713 5.713 5.203
angles: 90.00 90.00 90.00
Each line ends with the local moment (μB).
Atoms (fractional coordinates):
I 0.000 0.500 0.000  0.04
I 0.500 0.000 0.000  0.04
Te 0.000 0.000 0.500  -0.06
Ag 0.500 0.500 0.500  0.03
W 0.000 0.000 0.000  1.59

No. 10
The following is a PBE calculation of crystalline La2AgAu2 at its relaxed geometry, from the Alexandria database.

Output
- space-group type = No. 139
- energy above the most stable polymorph in this dataset (kJ/mol of formula units) = 105.2
- raw total energy (eV/cell) = -21.6
- DFT formation energy (eV/atom) = -0.458

abc: 5.863 5.863 5.866
angles: 60.02 60.02 90.00
Atoms (fractional coordinates):
Au 0.343 0.343 0.314
Au 0.657 0.657 0.686
Ag 0.000 0.000 0.000
La 0.750 0.250 0.500
La 0.250 0.750 0.500

No. 11
The following is a PBE calculation of crystalline Ti2BeCo2 at its relaxed geometry, from the Alexandria database.

Output
- space-group type = No. 127
- raw total energy (eV/cell) = -69.3
- DFT formation energy (eV/atom) = -0.183

abc: 6.424 6.424 3.126
angles: 90.00 90.00 90.00
Atoms (fractional coordinates):
Be 0.000 0.000 0.000
Be 0.500 0.500 0.000
Co 0.362 0.862 0.000
Co 0.862 0.638 0.000
Co 0.638 0.138 0.000
Co 0.138 0.362 0.000
Ti 0.170 0.670 0.500
Ti 0.670 0.830 0.500
Ti 0.830 0.330 0.500
Ti 0.330 0.170 0.500

No. 12
The following is a PBE calculation of crystalline NaHg3O3 at its relaxed geometry, from the Alexandria database.

Output
- space-group type = No. 148
- formation energy from raw total energies (eV/atom) = -0.377
- raw total energy (eV/cell) = -39.5

abc: 6.736 6.736 7.448
angles: 63.12 63.12 60.00
Atoms (fractional coordinates):
Na 0.324 0.324 0.028
Na 0.676 0.676 0.972
Hg 0.371 0.811 0.696
Hg 0.811 0.121 0.696
Hg 0.121 0.371 0.696
Hg 0.879 0.629 0.304
Hg 0.189 0.879 0.304
Hg 0.629 0.189 0.304
O 0.273 0.538 0.256
O 0.934 0.273 0.256
O 0.538 0.934 0.256
O 0.462 0.066 0.744
O 0.066 0.727 0.744
O 0.727 0.462 0.744